# 1
# Tl12Sb3I5

Tl12Sb3I5 after structural relaxation (GGA-PBE, the Alexandria database).

* raw formation energy: -14.6 kJ/mol of atoms
* M_tot: 0.000 μB/f.u.
* DOS(E_F): 39.03 states/eV per cell
* space group: Ia-3d (230)

a b c (Å): 16.990 16.990 16.990
angles (deg): 109.47 109.47 109.47
Atoms (fractional coordinates):
Tl1 0.067 0.229 0.155
Tl2 0.067 0.338 0.911
Tl3 0.073 0.729 0.662
Tl4 0.073 0.845 0.411
Tl5 0.089 0.655 0.427
Tl6 0.089 0.933 0.662
Tl7 0.155 0.067 0.229
Tl8 0.155 0.589 0.927
Tl9 0.162 0.229 0.573
Tl10 0.162 0.433 0.589
Tl11 0.229 0.155 0.067
Tl12 0.229 0.573 0.162
Tl13 0.271 0.338 0.927
Tl14 0.271 0.433 0.345
Tl15 0.338 0.911 0.067
Tl16 0.338 0.927 0.271
Tl17 0.345 0.271 0.433
Tl18 0.345 0.573 0.911
Tl19 0.411 0.073 0.845
Tl20 0.411 0.838 0.567
Tl21 0.427 0.089 0.655
Tl22 0.427 0.838 0.771
Tl23 0.433 0.345 0.271
Tl24 0.433 0.589 0.162
Tl25 0.567 0.411 0.838
Tl26 0.567 0.655 0.729
Tl27 0.573 0.162 0.229
Tl28 0.573 0.911 0.345
Tl29 0.589 0.162 0.433
Tl30 0.589 0.927 0.155
Tl31 0.655 0.427 0.089
Tl32 0.655 0.729 0.567
Tl33 0.662 0.073 0.729
Tl34 0.662 0.089 0.933
Tl35 0.729 0.567 0.655
Tl36 0.729 0.662 0.073
Tl37 0.771 0.427 0.838
Tl38 0.771 0.845 0.933
Tl39 0.838 0.567 0.411
Tl40 0.838 0.771 0.427
Tl41 0.845 0.411 0.073
Tl42 0.845 0.933 0.771
Tl43 0.911 0.067 0.338
Tl44 0.911 0.345 0.573
Tl45 0.927 0.155 0.589
Tl46 0.927 0.271 0.338
Tl47 0.933 0.662 0.089
Tl48 0.933 0.771 0.845
Sb1 0.125 0.250 0.375
Sb2 0.125 0.375 0.750
Sb3 0.250 0.375 0.125
Sb4 0.250 0.875 0.625
Sb5 0.375 0.125 0.250
Sb6 0.375 0.750 0.125
Sb7 0.625 0.250 0.875
Sb8 0.625 0.875 0.750
Sb9 0.750 0.125 0.375
Sb10 0.750 0.625 0.875
Sb11 0.875 0.625 0.250
Sb12 0.875 0.750 0.625
I1 0.000 0.000 0.000
I2 0.000 0.000 0.500
I3 0.000 0.500 0.000
I4 0.000 0.500 0.500
I5 0.125 0.750 0.875
I6 0.125 0.875 0.250
I7 0.250 0.125 0.875
I8 0.250 0.625 0.375
I9 0.375 0.250 0.625
I10 0.375 0.625 0.750
I11 0.500 0.000 0.000
I12 0.500 0.000 0.500
I13 0.500 0.500 0.000
I14 0.500 0.500 0.500
I15 0.625 0.375 0.250
I16 0.625 0.750 0.375
I17 0.750 0.375 0.625
I18 0.750 0.875 0.125
I19 0.875 0.125 0.750
I20 0.875 0.250 0.125

=====

# 2
# Tl12Sb5I3

Tl12Sb5I3 after structural relaxation (GGA-PBE, the Alexandria database).

* raw formation energy: 3.8 kJ/mol of atoms
* M_tot: 0.000 μB/f.u.
* DOS(E_F): 69.24 states/eV per cell
* space group: Ia-3d (230)

a b c (Å): 16.605 16.605 16.605
angles (deg): 109.47 109.47 109.47
Atoms (fractional coordinates):
Tl1 0.046 0.214 0.135
Tl2 0.046 0.331 0.911
Tl3 0.079 0.714 0.669
Tl4 0.079 0.865 0.411
Tl5 0.089 0.635 0.421
Tl6 0.089 0.954 0.669
Tl7 0.135 0.046 0.214
Tl8 0.135 0.589 0.921
Tl9 0.169 0.214 0.579
Tl10 0.169 0.454 0.589
Tl11 0.214 0.135 0.046
Tl12 0.214 0.579 0.169
Tl13 0.286 0.331 0.921
Tl14 0.286 0.454 0.365
Tl15 0.331 0.911 0.046
Tl16 0.331 0.921 0.286
Tl17 0.365 0.286 0.454
Tl18 0.365 0.579 0.911
Tl19 0.411 0.079 0.865
Tl20 0.411 0.831 0.546
Tl21 0.421 0.089 0.635
Tl22 0.421 0.831 0.786
Tl23 0.454 0.365 0.286
Tl24 0.454 0.589 0.169
Tl25 0.546 0.411 0.831
Tl26 0.546 0.635 0.714
Tl27 0.579 0.169 0.214
Tl28 0.579 0.911 0.365
Tl29 0.589 0.169 0.454
Tl30 0.589 0.921 0.135
Tl31 0.635 0.421 0.089
Tl32 0.635 0.714 0.546
Tl33 0.669 0.079 0.714
Tl34 0.669 0.089 0.954
Tl35 0.714 0.546 0.635
Tl36 0.714 0.669 0.079
Tl37 0.786 0.421 0.831
Tl38 0.786 0.865 0.954
Tl39 0.831 0.546 0.411
Tl40 0.831 0.786 0.421
Tl41 0.865 0.411 0.079
Tl42 0.865 0.954 0.786
Tl43 0.911 0.046 0.331
Tl44 0.911 0.365 0.579
Tl45 0.921 0.135 0.589
Tl46 0.921 0.286 0.331
Tl47 0.954 0.669 0.089
Tl48 0.954 0.786 0.865
Sb1 0.000 0.000 0.000
Sb2 0.000 0.000 0.500
Sb3 0.000 0.500 0.000
Sb4 0.000 0.500 0.500
Sb5 0.125 0.750 0.875
Sb6 0.125 0.875 0.250
Sb7 0.250 0.125 0.875
Sb8 0.250 0.625 0.375
Sb9 0.375 0.250 0.625
Sb10 0.375 0.625 0.750
Sb11 0.500 0.000 0.000
Sb12 0.500 0.000 0.500
Sb13 0.500 0.500 0.000
Sb14 0.500 0.500 0.500
Sb15 0.625 0.375 0.250
Sb16 0.625 0.750 0.375
Sb17 0.750 0.375 0.625
Sb18 0.750 0.875 0.125
Sb19 0.875 0.125 0.750
Sb20 0.875 0.250 0.125
I1 0.125 0.250 0.375
I2 0.125 0.375 0.750
I3 0.250 0.375 0.125
I4 0.250 0.875 0.625
I5 0.375 0.125 0.250
I6 0.375 0.750 0.125
I7 0.625 0.250 0.875
I8 0.625 0.875 0.750
I9 0.750 0.125 0.375
I10 0.750 0.625 0.875
I11 0.875 0.625 0.250
I12 0.875 0.750 0.625

=====

Number 2 is which compound? Tl12Sb5I3